(1)
Material: Li2Ta
Method: DFT, SCAN
State: single point on PBEsol structure

abc: 7.5629 7.5629 7.5629
angles: 159.75 159.75 28.80
With the nearest neighbours (Å) after each atom.
Element x y z (fractional)
Li1 0.1619 0.1619 0.0000  4 Li 2.66
Li2 0.8381 0.8381 0.0000  4 Li 2.66
Ta1 0.5000 0.5000 0.0000  4 Ta 2.66

Summary:
Crystal system: tetragonal
Relative energy among the computed polymorphs (eV per formula unit): 0.00
Calculated density (g/cm³): 6.244
SG: I4/mmm, No. 139
Volume (A^3/atom): 17.3

(2)
Material: Tm2TiO5
Method: DFT, SCAN
State: single point on PBEsol structure

abc: 5.7509 5.7509 10.2802
angles: 90.00 90.00 139.34
With the nearest neighbours (Å) after each atom.
Element x y z (fractional)
Tm1 0.1431 0.8569 0.5691  6 O 2.13-2.33
Tm2 0.1431 0.8569 0.9309  6 O 2.13-2.33
Tm3 0.8569 0.1431 0.0691  6 O 2.13-2.33
Tm4 0.8569 0.1431 0.4309  6 O 2.13-2.33
Ti1 0.1724 0.8276 0.2500  6 O 1.86-2.08
Ti2 0.8276 0.1724 0.7500  6 O 1.86-2.08
O1 0.0500 0.9500 0.1225  1 Ti 1.86
O2 0.0500 0.9500 0.3775  1 Ti 1.86
O3 0.2730 0.7270 0.7500  2 Ti 2.08, 2 Tm 2.33
O4 0.2905 0.7095 0.0897  1 Ti 2.08, 3 Tm 2.13-2.28
O5 0.2905 0.7095 0.4103  1 Ti 2.08, 3 Tm 2.13-2.28
O6 0.7095 0.2905 0.5897  1 Ti 2.08, 3 Tm 2.13-2.28
O7 0.7095 0.2905 0.9103  1 Ti 2.08, 3 Tm 2.13-2.28
O8 0.7270 0.2730 0.2500  2 Ti 2.08, 2 Tm 2.33
O9 0.9500 0.0500 0.6225  1 Ti 1.86
O10 0.9500 0.0500 0.8775  1 Ti 1.86

Summary:
Crystal system: orthorhombic
Relative energy among the computed polymorphs (eV per formula unit): 0.42
Formation energy without anion corrections (eV/atom): -3.74
Calculated density (g/cm³): 6.983
SG: Cmcm, No. 63
Volume (A^3/atom): 13.8